This record from Alexandria describes a geometry-optimized TmNbB structure. The functional is GGA-PBE.

Cell: 5.9141 5.9141 16.4577 Å, 90.00 90.00 120.00°
Space group R3 (No. 146, hexagonal axes)
Unique sites:
Tm: 0.0007 0.6656 0.0000 [9 per cell]
Nb: 0.9999 0.3352 0.5011 [9 per cell]
B: 0.0000 0.0000 0.2332 [3 per cell]
B: 0.0000 0.0000 0.4300 [3 per cell]
B: 0.0000 0.0000 0.8991 [3 per cell]

Values from the calculation:
**Fermi-level density of states**: 20.38 states/eV per cell
**Calculated total energy**: -191.4 eV for the cell shown


This record from Alexandria describes a geometry-optimized TmNb2B6 structure. The functional is GGA-PBE.

Cell: 5.4502 5.4502 3.4684 Å, 90.00 90.00 120.00°
Space group P6/mmm (No. 191)
Unique sites:
Tm: 0.0000 0.0000 0.0000 [1 per cell]
Nb: 0.3333 0.6667 0.0000 [2 per cell]
B: 0.0000 0.3375 0.5000 [6 per cell]

Values from the calculation:
**Distance to the lowest polymorph of the same formula**: 0 meV per atom
**Fermi-level density of states**: 1.54 states/eV per cell